# 1
This record from Alexandria describes a geometry-optimized CaSm12Er5 structure. The functional is PBE.

Computed properties:
Calculated formation energy ... 0.65 eV/f.u.
Space group ... Cmmm (65)

a = 15.2544 Å, b = 10.8158 Å, c = 5.1077 Å
α = 90.00°, β = 90.00°, γ = 45.16°
Atoms (fractional coordinates):
Ca 0.0000 0.0000 0.0000
Sm 0.8285 0.0000 0.4999
Sm 0.1715 0.0000 0.5001
Sm 0.6659 0.0000 0.9999
Sm 0.3341 0.0000 0.0001
Sm 0.3371 0.6610 0.0000
Sm 0.0018 0.6610 0.0000
Sm 0.9982 0.3390 0.0000
Sm 0.6629 0.3390 0.0000
Sm 0.4988 0.3330 0.5000
Sm 0.8317 0.6671 0.5000
Sm 0.1683 0.3330 0.5000
Sm 0.5012 0.6671 0.5000
Er 0.5000 0.0000 0.5000
Er 0.1727 0.6546 0.5000
Er 0.8273 0.3454 0.5000
Er 0.6662 0.6677 0.0000
Er 0.3338 0.3324 0.0000

---

# 2
This record from Alexandria describes a geometry-optimized CaMg2NCl structure. The functional is PBE.

Computed properties:
Calculated total energy ... -2.468 eV/atom
Space group ... P4/mmm (123)

a = 6.1395 Å, b = 4.1429 Å, c = 6.1395 Å
α = 90.00°, β = 90.00°, γ = 90.00°
Atoms (fractional coordinates):
Ca 0.0000 0.0000 0.0000
N 0.0000 0.5000 0.0000
Mg 0.0000 0.0000 0.5000
Mg 0.5000 0.0000 0.0000
Cl 0.5000 0.5000 0.5000

---

# 3
This record from Alexandria describes a geometry-optimized Ba3TmB3O9 structure. The functional is PBE.

Computed properties:
Calculated total energy ... -7.604 eV/atom
Space group ... P6_3cm (185)

a = 9.4694 Å, b = 9.4694 Å, c = 17.9419 Å
α = 90.00°, β = 90.00°, γ = 120.00°
Atoms (fractional coordinates):
Ba 0.3177 0.3177 0.6313
Ba 0.3177 0.0000 0.1313
Ba 0.0000 0.3177 0.1313
Ba 0.0000 0.6823 0.6313
Ba 0.6823 0.0000 0.6313
Ba 0.6823 0.6823 0.1313
Ba 0.3481 0.3481 0.8717
Ba 0.3481 0.0000 0.3717
Ba 0.0000 0.3481 0.3717
Ba 0.0000 0.6519 0.8717
Ba 0.6519 0.0000 0.8717
Ba 0.6519 0.6519 0.3717
Ba 0.3333 0.6667 0.2244
Ba 0.6667 0.3333 0.7244
Ba 0.3333 0.6667 0.7244
Ba 0.6667 0.3333 0.2244
Ba 0.0000 0.0000 0.7848
Ba 0.0000 0.0000 0.2848
Tm 0.3333 0.6667 0.5046
Tm 0.6667 0.3333 0.0046
Tm 0.3333 0.6667 0.0046
Tm 0.6667 0.3333 0.5046
Tm 0.0000 0.0000 0.9985
Tm 0.0000 0.0000 0.4985
B 0.3398 0.3398 0.0791
B 0.3398 0.0000 0.5791
B 0.0000 0.3398 0.5791
B 0.0000 0.6602 0.0791
B 0.6602 0.0000 0.0791
B 0.6602 0.6602 0.5791
B 0.3326 0.3326 0.2524
B 0.3326 0.0000 0.7524
B 0.0000 0.3326 0.7524
B 0.0000 0.6674 0.2524
B 0.6674 0.0000 0.2524
B 0.6674 0.6674 0.7524
B 0.3266 0.3266 0.4290
B 0.3266 0.0000 0.9290
B 0.0000 0.3266 0.9290
B 0.0000 0.6734 0.4290
B 0.6734 0.0000 0.4290
B 0.6734 0.6734 0.9290
O 0.1933 0.1933 0.0696
O 0.1933 0.0000 0.5696
O 0.0000 0.1933 0.5696
O 0.0000 0.8067 0.0696
O 0.8067 0.0000 0.0696
O 0.8067 0.8067 0.5696
O 0.8527 0.3387 0.5843
O 0.4860 0.1473 0.5843
O 0.6613 0.5140 0.5843
O 0.3387 0.4860 0.0843
O 0.1473 0.6613 0.0843
O 0.5140 0.8527 0.0843
O 0.4860 0.3387 0.0843
O 0.3387 0.8527 0.5843
O 0.1473 0.4860 0.5843
O 0.8527 0.5140 0.0843
O 0.6613 0.1473 0.0843
O 0.5140 0.6613 0.5843
O 0.4799 0.4799 0.2526
O 0.4799 0.0000 0.7526
O 0.0000 0.4799 0.7526
O 0.0000 0.5201 0.2526
O 0.5201 0.0000 0.2526
O 0.5201 0.5201 0.7526
O 0.8527 0.1854 0.7520
O 0.3327 0.1473 0.7520
O 0.8146 0.6673 0.7520
O 0.1854 0.3327 0.2520
O 0.1473 0.8146 0.2520
O 0.6673 0.8527 0.2520
O 0.3327 0.1854 0.2520
O 0.1854 0.8527 0.7520
O 0.1473 0.3327 0.7520
O 0.8527 0.6673 0.2520
O 0.8146 0.1473 0.2520
O 0.6673 0.8146 0.7520
O 0.8533 0.3265 0.9336
O 0.4732 0.1467 0.9336
O 0.6735 0.5268 0.9336
O 0.3265 0.4732 0.4336
O 0.1467 0.6735 0.4336
O 0.5268 0.8533 0.4336
O 0.4732 0.3265 0.4336
O 0.3265 0.8533 0.9336
O 0.1467 0.4732 0.9336
O 0.8533 0.5268 0.4336
O 0.6735 0.1467 0.4336
O 0.5268 0.6735 0.9336
O 0.1809 0.1809 0.4194
O 0.1809 0.0000 0.9194
O 0.0000 0.1809 0.9194
O 0.0000 0.8191 0.4194
O 0.8191 0.0000 0.4194
O 0.8191 0.8191 0.9194

---

# 4
This record from Alexandria describes a geometry-optimized K2CaBiB structure. The functional is PBE.

Computed properties:
Calculated formation energy ... 5.84 eV/f.u.
Space group ... P4/mmm (123)

a = 7.1838 Å, b = 5.7924 Å, c = 7.1838 Å
α = 90.00°, β = 90.00°, γ = 90.00°
Last column: magnetic moment on the atom in μB.
Atoms (fractional coordinates):
K 0.0000 0.0000 0.5000  0.00
K 0.5000 0.0000 0.0000  0.00
Ca 0.0000 0.0000 0.0000  -0.03
B 0.5000 0.5000 0.5000  0.34
Bi 0.0000 0.5000 0.0000  -0.03

---

# 5
This record from Alexandria describes a geometry-optimized Li8SbAu2 structure. The functional is PBE.

Computed properties:
Calculated total energy ... -2.831 eV/atom
Space group ... C2/m (12)

a = 4.4162 Å, b = 6.9660 Å, c = 7.4183 Å
α = 118.00°, β = 107.32°, γ = 90.00°
Atoms (fractional coordinates):
Li 0.3463 0.5591 0.6927
Li 0.6560 0.8705 0.3120
Li 0.8464 0.8428 0.6928
Li 0.9984 0.2955 0.9967
Li 0.1536 0.1572 0.3072
Li 0.3440 0.1295 0.6880
Li 0.6537 0.4409 0.3073
Li 0.0016 0.7045 0.0033
Sb 0.5000 0.0000 0.0000
Au 0.8076 0.3098 0.6152
Au 0.1924 0.6902 0.3848

---

# 6
This record from Alexandria describes a geometry-optimized Dy12SbRu6 structure. The functional is PBE.

Computed properties:
Calculated total energy ... -6.409 eV/atom
Space group ... Im-3 (204)

a = 8.5201 Å, b = 8.5201 Å, c = 8.5201 Å
α = 109.47°, β = 109.47°, γ = 109.47°
Atoms (fractional coordinates):
Dy 0.2962 0.1002 0.8040
Dy 0.2962 0.4923 0.1960
Dy 0.7038 0.5077 0.8040
Dy 0.7038 0.8998 0.1960
Dy 0.1002 0.8040 0.2962
Dy 0.4923 0.1960 0.2962
Dy 0.5077 0.8040 0.7038
Dy 0.8998 0.1960 0.7038
Dy 0.8040 0.2962 0.1002
Dy 0.1960 0.2962 0.4923
Dy 0.8040 0.7038 0.5077
Dy 0.1960 0.7038 0.8998
Sb 0.0000 0.0000 0.0000
Ru 0.3760 0.5000 0.8760
Ru 0.6240 0.5000 0.1240
Ru 0.5000 0.8760 0.3760
Ru 0.5000 0.1240 0.6240
Ru 0.8760 0.3760 0.5000
Ru 0.1240 0.6240 0.5000

---

# 7
This record from Alexandria describes a geometry-optimized CsCdS3 structure. The functional is PBE.

Computed properties:
Calculated total energy ... -2.850 eV/atom
Space group ... Pm-3m (221)

a = 5.2376 Å, b = 5.2376 Å, c = 5.2376 Å
α = 90.00°, β = 90.00°, γ = 90.00°
Last column: magnetic moment on the atom in μB.
Atoms (fractional coordinates):
Cs 0.5000 0.5000 0.5000  0.01
S 0.0000 0.5000 0.0000  0.56
S 0.0000 0.0000 0.5000  0.47
S 0.5000 0.0000 0.0000  0.56
Cd 0.0000 0.0000 0.0000  0.01

---

# 8
This record from Alexandria describes a geometry-optimized BeNbCrGe2 structure. The functional is PBE.

Computed properties:
Calculated formation energy ... 6.99 eV/f.u.
Space group ... P4/mmm (123)

a = 4.8909 Å, b = 4.8909 Å, c = 4.4589 Å
α = 90.00°, β = 90.00°, γ = 90.00°
Last column: magnetic moment on the atom in μB.
Atoms (fractional coordinates):
Cr 0.5000 0.5000 0.5000  -0.32
Nb 0.0000 0.0000 0.0000  0.16
Ge 0.0000 0.5000 0.0000  -0.01
Ge 0.5000 0.0000 0.0000  -0.01
Be 0.0000 0.0000 0.5000  0.03

---

# 9
This record from Alexandria describes a geometry-optimized TaCu2 structure. The functional is PBE.

Computed properties:
Calculated formation energy ... 1.84 eV/f.u.
Space group ... I4/mcm (140)

a = 5.0237 Å, b = 5.0237 Å, c = 5.0237 Å
α = 105.17°, β = 105.17°, γ = 118.47°
Atoms (fractional coordinates):
Ta 0.7500 0.7500 0.0000
Ta 0.2500 0.2500 0.0000
Cu 0.8645 0.6355 0.5000
Cu 0.1355 0.3645 0.5000
Cu 0.3645 0.8645 0.2291
Cu 0.6355 0.1355 0.7709

---

# 10
This record from Alexandria describes a geometry-optimized Sm4DyPu3S8 structure. The functional is PBE.

Computed properties:
Calculated total energy ... -8.164 eV/atom
Space group ... R-3m (166)

a = 7.9323 Å, b = 7.9661 Å, c = 7.9323 Å
α = 119.86°, β = 120.00°, γ = 90.00°
Last column: magnetic moment on the atom in μB.
Atoms (fractional coordinates):
Sm 0.5000 0.0000 0.0000  0.04
Sm 0.5000 0.0000 0.5000  0.00
Sm 0.0000 0.0000 0.0000  0.00
Sm 0.0000 0.0000 0.5000  0.00
Dy 0.0000 0.5000 0.0000  0.08
Pu 0.5000 0.5000 0.0000  5.32
Pu 0.5000 0.5000 0.5000  5.32
Pu 0.0000 0.5000 0.5000  5.32
S 0.2470 0.7435 0.9965  -0.04
S 0.2470 0.7435 0.4940  -0.04
S 0.2520 0.2561 0.5041  -0.06
S 0.7495 0.7435 0.9965  -0.04
S 0.2505 0.2565 0.0035  -0.04
S 0.7480 0.7439 0.4959  -0.06
S 0.7530 0.2565 0.5060  -0.04
S 0.7530 0.2565 0.0035  -0.04

---

# 11
This record from Alexandria describes a geometry-optimized Al2CdOs2 structure. The functional is PBE.

Computed properties:
Calculated formation energy ... -0.05 eV/f.u.
Space group ... P4/mbm (127)

a = 7.3094 Å, b = 7.3094 Å, c = 2.9709 Å
α = 90.00°, β = 90.00°, γ = 90.00°
Atoms (fractional coordinates):
Os 0.3579 0.8579 0.0000
Os 0.8579 0.6421 0.0000
Os 0.6421 0.1421 0.0000
Os 0.1421 0.3579 0.0000
Al 0.1502 0.6502 0.5000
Al 0.6502 0.8498 0.5000
Al 0.8498 0.3498 0.5000
Al 0.3498 0.1502 0.5000
Cd 0.0000 0.0000 0.0000
Cd 0.5000 0.5000 0.0000

---

# 12
This record from Alexandria describes a geometry-optimized PmHPt4 structure. The functional is PBE.

Computed properties:
Calculated total energy ... -5.726 eV/atom
Space group ... F-43m (216)

a = 5.3341 Å, b = 5.3341 Å, c = 5.3341 Å
α = 60.00°, β = 60.00°, γ = 60.00°
Atoms (fractional coordinates):
H 0.2500 0.2500 0.2500
Pt 0.6243 0.6243 0.1270
Pt 0.6243 0.1270 0.6243
Pt 0.6243 0.6243 0.6243
Pt 0.1270 0.6243 0.6243
Pm 0.0000 0.0000 0.0000

---

Calculated M_tot in order - 0.000, 0.000, 0.000, 0.894, 0.000, 0.000, 2.557, 0.049, 0.000, 16.910, 0.000, 0.000 μB/cell